## YAl2Tl (PBE)

Data for an optimized crystal structure of YAl2Tl.

Properties
volume: 93.0 Å³/f.u.
energy relative to the elements: 0.130 eV/f.u.
calculated total energy: -4.0463 eV/atom
DOS(E_F): 3.709 states/eV/f.u.
density: 6.2 g cm⁻³

Cell and atoms, written as CIF:
```
data_YAl2Tl
_chemical_formula_sum 'Y4 Al8 Tl4'
_cell_length_a 7.1915
_cell_length_b 7.1915
_cell_length_c 7.1915
_cell_angle_alpha 90.00
_cell_angle_beta 90.00
_cell_angle_gamma 90.00
_space_group_name_H-M_alt 'F -4 3 m'
_space_group_IT_number 216
_space_group_name_Hall 'F -4 2 3'
loop_
_atom_site_label
_atom_site_fract_x
_atom_site_fract_y
_atom_site_fract_z
_atom_site_occupancy
Y1 0.0000 0.0000 0.0000 1
Al1 0.0000 0.0000 0.5000 1
Al2 0.2500 0.2500 0.7500 1
Tl1 0.2500 0.2500 0.2500 1
```



## Y4AlTl (PBE)

Data for an optimized crystal structure of Y4AlTl.

Properties
volume: 176.6 Å³/f.u.
energy relative to the elements: 1.929 eV/f.u.
calculated total energy: -5.0061 eV/atom
DOS(E_F): 6.327 states/eV/f.u.
density: 5.5 g cm⁻³

Cell and atoms, written as CIF:
```
data_Y4AlTl
_chemical_formula_sum 'Y16 Al4 Tl4'
_cell_length_a 8.9056
_cell_length_b 8.9056
_cell_length_c 8.9056
_cell_angle_alpha 90.00
_cell_angle_beta 90.00
_cell_angle_gamma 90.00
_space_group_name_H-M_alt 'F -4 3 m'
_space_group_IT_number 216
_space_group_name_Hall 'F -4 2 3'
loop_
_atom_site_label
_atom_site_fract_x
_atom_site_fract_y
_atom_site_fract_z
_atom_site_occupancy
Y1 0.1245 0.1245 0.1245 1
Al1 0.2500 0.2500 0.7500 1
Tl1 0.0000 0.0000 0.5000 1
```



## YAl2Tl (PBE)

Data for an optimized crystal structure of YAl2Tl.

Properties
volume: 94.6 Å³/f.u.
energy relative to the elements: 0.277 eV/f.u.
calculated total energy: -4.0097 eV/atom
DOS(E_F): 2.402 states/eV/f.u.
density: 6.1 g cm⁻³

Cell and atoms, written as CIF:
```
data_YAl2Tl
_chemical_formula_sum 'Y4 Al8 Tl4'
_cell_length_a 7.2332
_cell_length_b 7.2332
_cell_length_c 7.2332
_cell_angle_alpha 90.00
_cell_angle_beta 90.00
_cell_angle_gamma 90.00
_space_group_name_H-M_alt 'F m -3 m'
_space_group_IT_number 225
_space_group_name_Hall '-F 4 2 3'
loop_
_atom_site_label
_atom_site_fract_x
_atom_site_fract_y
_atom_site_fract_z
_atom_site_occupancy
Y1 0.0000 0.0000 0.0000 1
Al1 0.2500 0.2500 0.2500 1
Tl1 0.0000 0.0000 0.5000 1
```



## Y2AlTl2 (PBE)

Data for an optimized crystal structure of Y2AlTl2.

Properties
volume: 141.9 Å³/f.u.
energy relative to the elements: -0.481 eV/f.u.
calculated total energy: -4.3768 eV/atom
DOS(E_F): 4.918 states/eV/f.u.
density: 7.2 g cm⁻³

Cell and atoms, written as CIF:
```
data_Y2AlTl2
_chemical_formula_sum 'Y4 Al2 Tl4'
_cell_length_a 8.0367
_cell_length_b 8.0367
_cell_length_c 4.3934
_cell_angle_alpha 90.00
_cell_angle_beta 90.00
_cell_angle_gamma 90.00
_space_group_name_H-M_alt 'P 4/m b m'
_space_group_IT_number 127
_space_group_name_Hall '-P 4 2ab'
loop_
_atom_site_label
_atom_site_fract_x
_atom_site_fract_y
_atom_site_fract_z
_atom_site_occupancy
Y1 0.1599 0.3401 0.0000 1
Al1 0.0000 0.0000 0.0000 1
Tl1 0.1466 0.6466 0.5000 1
```